Compound: Fe2NiMo
Source: Alexandria
Functional: meta-GGA SCAN
Structure: single point on PBEsol structure

Cell: 3.597 3.597 3.506 Å, 90.00 90.00 90.00°
Fractional positions:
Fe 0.000 0.500 0.000
Fe 0.500 0.000 0.000
Ni 0.000 0.000 0.500
Mo 0.500 0.500 0.500

Crystal system ... tetragonal
M_tot ... 1.98 Bohr magnetons per cell
Symmetry ... P4/mmm (123)
Energy of formation from the pure elements ... 123.8 meV/atom
E_tot ... -21.7056 eV/atom